Entry from Alexandria: DyEr5In4 after structural relaxation (GGA-PBE).

a = 3.5444 Å, b = 3.5444 Å, c = 21.5554 Å
α = 90.00°, β = 90.00°, γ = 90.00°
Closest atoms and distances in Å follow each position.
Fractional coordinates of all 10 atoms:
1 In 0.0000 0.0000 0.7894  8 Er 3.25, 4 In 3.54
2 In 0.0000 0.0000 0.2106  8 Er 3.25, 4 In 3.54
3 In 0.0000 0.0000 0.4034  8 Er 3.26, 4 In 3.54
4 In 0.0000 0.0000 0.5966  8 Er 3.26, 4 In 3.54
5 Er 0.5000 0.5000 0.5000  8 In 3.26, 4 Er 3.54
6 Er 0.5000 0.5000 0.1142  4 In 3.25, 4 Dy 3.51, 4 Er 3.54
7 Er 0.5000 0.5000 0.3067  8 In 3.25-3.26, 4 Er 3.54
8 Er 0.5000 0.5000 0.6933  8 In 3.25-3.26, 4 Er 3.54
9 Er 0.5000 0.5000 0.8858  4 In 3.25, 4 Dy 3.51, 4 Er 3.54
10 Dy 0.0000 0.0000 0.0000  8 Er 3.51, 4 Dy 3.54

Calculated values
Its crystal system is tetragonal. The value obtained for the formation energy is -363 meV/atom.

Entry from Alexandria: Dy4Er5In2 after structural relaxation (GGA-PBE).

a = 3.4406 Å, b = 8.0147 Å, c = 12.3261 Å
α = 90.71°, β = 98.02°, γ = 90.00°
Closest atoms and distances in Å follow each position.
Fractional coordinates of all 11 atoms:
1 Er 0.8362 0.0965 0.6725  2 In 3.22, 2 Dy 3.42-3.48, 3 Er 3.44-3.51
2 Er 0.7750 0.6975 0.5501  3 In 3.14-3.24, 1 Dy 3.32, 2 Er 3.44
3 Er 0.5000 0.0000 0.0000  8 Dy 3.40-3.47, 2 Er 3.44
4 Er 0.1638 0.9035 0.3275  2 In 3.22, 2 Dy 3.42-3.48, 3 Er 3.44-3.51
5 Er 0.2250 0.3025 0.4499  3 In 3.14-3.24, 1 Dy 3.32, 2 Er 3.44
6 In 0.3463 0.4354 0.6927  5 Er 3.14-3.24, 4 Dy 3.28-3.34, 2 In 3.44
7 In 0.6537 0.5646 0.3073  5 Er 3.14-3.24, 4 Dy 3.28-3.34, 2 In 3.44
8 Dy 0.0443 0.6609 0.0886  2 In 3.28, 5 Dy 3.33-3.44, 3 Er 3.40-3.48
9 Dy 0.9557 0.3391 0.9114  2 In 3.28, 5 Dy 3.33-3.44, 3 Er 3.40-3.48
10 Dy 0.0893 0.2628 0.1787  4 Er 3.32-3.47, 4 Dy 3.33-3.44, 2 In 3.34
11 Dy 0.9107 0.7372 0.8213  4 Er 3.32-3.47, 4 Dy 3.33-3.44, 2 In 3.34

Calculated values
Its crystal system is monoclinic. The value obtained for the formation energy is 39 meV/atom.

Entry from Alexandria: Dy2Er4In after structural relaxation (GGA-PBE).

a = 5.7617 Å, b = 6.5948 Å, c = 11.4453 Å
α = 90.00°, β = 105.38°, γ = 90.00°
Closest atoms and distances in Å follow each position.
Fractional coordinates of all 14 atoms:
1 Dy 0.4215 0.2500 0.9792  2 In 3.19-3.34, 4 Er 3.29-3.43, 2 Dy 3.42
2 Dy 0.5785 0.7500 0.0208  2 In 3.19-3.34, 4 Er 3.29-3.43, 2 Dy 3.42
3 Dy 0.2638 0.2500 0.4267  7 Er 3.20-3.37
4 Dy 0.7362 0.7500 0.5733  7 Er 3.20-3.37
5 Er 0.6286 0.4928 0.2873  5 Er 3.20-3.56, 1 In 3.29, 2 Dy 3.36-3.43
6 Er 0.1506 0.7500 0.4343  1 In 3.11, 4 Dy 3.20-3.37, 2 Er 3.47
7 Er 0.8494 0.2500 0.5657  1 In 3.11, 4 Dy 3.20-3.37, 2 Er 3.47
8 Er 0.3714 0.9928 0.7127  5 Er 3.20-3.56, 1 In 3.29, 2 Dy 3.36-3.43
9 Er 0.6286 0.0072 0.2873  5 Er 3.20-3.56, 1 In 3.29, 2 Dy 3.36-3.43
10 Er 0.3714 0.5072 0.7127  5 Er 3.20-3.56, 1 In 3.29, 2 Dy 3.36-3.43
11 Er 0.9940 0.7500 0.8717  3 In 3.19-3.38, 3 Dy 3.29-3.35, 2 Er 3.56
12 Er 0.0060 0.2500 0.1283  3 In 3.19-3.38, 3 Dy 3.29-3.35, 2 Er 3.56
13 In 0.1376 0.7500 0.1606  6 Er 3.11-3.38, 2 Dy 3.19-3.34
14 In 0.8624 0.2500 0.8394  6 Er 3.11-3.38, 2 Dy 3.19-3.34

Calculated values
Its crystal system is monoclinic. The excess energy over the best structure of this formula in the dataset is 15 meV/atom. The value obtained for the formation energy is -24 meV/atom.